a) Rb2PtPb2 | PBE | relaxed

POSCAR file:
```
Rb2PtPb2
1.0
6.842 -2.504 0.000
6.842 2.504 0.000
-6.646 0.000 10.944
Rb Pt Pb
4 2 4
Direct
0.022 0.022 0.163
0.203 0.203 0.612
0.797 0.797 0.388
0.978 0.978 0.837
0.305 0.305 0.155
0.695 0.695 0.845
0.300 0.300 0.934
0.498 0.498 0.623
0.502 0.502 0.377
0.700 0.700 0.066
```

Output
As for the magnetic moment: 0.0 μB/cell. As for the space group: C2/m (12).



b) Rb2PtPb2 | PBE | relaxed

POSCAR file:
```
Rb2PtPb2
1.0
7.408 0.000 0.000
0.000 7.408 0.000
0.000 0.000 6.248
Rb Pt Pb
4 2 4
Direct
0.183 0.317 0.000
0.317 0.817 0.000
0.683 0.183 0.000
0.817 0.683 0.000
0.000 0.000 0.500
0.500 0.500 0.500
0.147 0.647 0.500
0.353 0.147 0.500
0.647 0.853 0.500
0.853 0.353 0.500
```

Output
As for the magnetic moment: 0.0 μB/cell. As for the space group: P4/mbm (127).



Which structure wins on stability? a) wins.